(1)
DFT (PBE) results for a relaxed structure of SrDyPt.

ΔE to the lowest computed polymorph, kJ/mol of formula units: 0

a b c (Å): 7.078 7.078 7.078
angles (deg): 90.00 90.00 90.00
Space group F-43m (No. 216)
Symmetry-distinct sites (fractional):
Sr 0.000 0.000 0.000 x4
Dy 0.000 0.000 0.500 x4
Pt 0.250 0.250 0.750 x4

=====

(2)
DFT (PBE) results for a relaxed structure of CsReAuS3.

Final energy, eV per atom: -5.0379

a b c (Å): 3.711 17.479 9.602
angles (deg): 90.00 90.00 90.00
Space group Cmcm (No. 63)
Symmetry-distinct sites (fractional):
Cs 0.000 0.217 0.250 x4
Re 0.000 0.500 0.000 x4
Au 0.000 0.111 0.750 x4
S 0.000 0.094 0.513 x8
S 0.000 0.464 0.750 x4

=====

(3)
DFT (PBE) results for a relaxed structure of LiZnFeHg.

ΔE to the lowest computed polymorph, kJ/mol of formula units: 0

a b c (Å): 6.251 6.251 6.251
angles (deg): 90.00 90.00 90.00
Space group F-43m (No. 216)
Symmetry-distinct sites (fractional):
Li 0.000 0.000 0.000 x4
Zn 0.250 0.250 0.250 x4
Fe 0.000 0.000 0.500 x4
Hg 0.250 0.250 0.750 x4

=====

(4)
DFT (PBE) results for a relaxed structure of BaPaPt.

ΔE to the lowest computed polymorph, kJ/mol of formula units: 0

a b c (Å): 7.234 7.234 7.234
angles (deg): 90.00 90.00 90.00
Space group F-43m (No. 216)
Symmetry-distinct sites (fractional):
Ba 0.000 0.000 0.000 x4
Pa 0.000 0.000 0.500 x4
Pt 0.250 0.250 0.250 x4

=====

(5)
DFT (PBE) results for a relaxed structure of ScZnCuSn.

ΔE to the lowest computed polymorph, kJ/mol of formula units: 14

a b c (Å): 6.598 6.598 6.598
angles (deg): 90.00 90.00 90.00
Space group F-43m (No. 216)
Symmetry-distinct sites (fractional):
Sc 0.000 0.000 0.000 x4
Zn 0.250 0.250 0.250 x4
Cu 0.000 0.000 0.500 x4
Sn 0.250 0.250 0.750 x4

=====

(6)
DFT (PBE) results for a relaxed structure of BaAlZn2Au.

Final energy, eV per atom: -2.6532

a b c (Å): 4.623 4.623 10.774
angles (deg): 90.00 90.00 90.00
Space group I4mm (No. 107)
Symmetry-distinct sites (fractional):
Ba 0.000 0.000 0.000 x2
Al 0.000 0.000 0.629 x2
Zn 0.000 0.500 0.247 x4
Au 0.000 0.000 0.386 x2